Material: KLa2VF
Method: DFT, PBE+U
State: relaxed

abc: 5.5033 6.9772 5.5033
angles: 90.00 90.00 90.00
Closest atoms and distances in Å follow each position.
Fractional coordinates of all 5 atoms:
K 0.0000 0.5000 0.0000  2 V 3.49, 4 F 3.89
La 0.0000 0.0000 0.5000  2 V 2.75
La 0.5000 0.0000 0.0000  2 V 2.75
F 0.5000 0.5000 0.5000  4 K 3.89
V 0.0000 0.0000 0.0000  4 La 2.75

Output
- Calculated volume: 42.3 A^3/atom
- Total DFT energy (no corrections): -3.70 eV/atom
- Space-group type: P4/mmm, No. 123